[1]
ScAu2Br: optimized geometry, PBE-GGA.

- M_tot (Bohr magnetons per cell) = 0.00
- polymorph energy (0 for the lowest one) (meV/atom) = 171
- D(E_F) (states/eV/cell) = 0.2
- E_form (uncorrected) (eV/atom) = -0.514

Cell lengths 8.107, 8.107, 8.107 Å; angles 26.48, 26.48, 26.48 degrees
Element x y z (fractional)
Sc1 0.000 0.000 0.000
Au1 0.258 0.258 0.258
Au2 0.742 0.742 0.742
Br1 0.500 0.500 0.500

[2]
ScAuBr2: optimized geometry, PBE-GGA.

- M_tot (Bohr magnetons per cell) = 0.00
- polymorph energy (0 for the lowest one) (meV/atom) = 620
- E_form (uncorrected) (eV/atom) = -0.440

Cell lengths 5.234, 5.234, 5.234 Å; angles 126.06, 126.06, 79.79 degrees
Element x y z (fractional)
Sc1 0.000 0.000 0.000
Au1 0.250 0.750 0.500
Br1 0.500 0.500 0.000
Br2 0.750 0.250 0.500

[3]
ScAu4Br: optimized geometry, PBE-GGA.

- M_tot (Bohr magnetons per cell) = 0.00
- D(E_F) (states/eV/cell) = 1.6
- E_form (uncorrected) (eV/atom) = -0.196

Cell lengths 5.591, 5.591, 5.591 Å; angles 60.00, 60.00, 60.00 degrees
Element x y z (fractional)
Sc1 0.000 0.000 0.000
Au1 0.125 0.625 0.625
Au2 0.625 0.125 0.625
Au3 0.625 0.625 0.125
Au4 0.625 0.625 0.625
Br1 0.250 0.250 0.250

[4]
ScAuSeBr2: optimized geometry, PBE-GGA.

- M_tot (Bohr magnetons per cell) = 0.90
- polymorph energy (0 for the lowest one) (meV/atom) = 541
- D(E_F) (states/eV/cell) = 6.9
- E_form (uncorrected) (eV/atom) = 0.003

Cell lengths 5.196, 5.196, 5.254 Å; angles 90.00, 90.00, 90.00 degrees
Element x y z (fractional)
Sc1 0.000 0.000 0.000
Au1 0.500 0.500 0.500
Se1 0.500 0.500 0.000
Br1 0.000 0.500 0.500
Br2 0.500 0.000 0.500

[5]
ScAuSeBr2: optimized geometry, PBE-GGA.

- M_tot (Bohr magnetons per cell) = 0.00
- polymorph energy (0 for the lowest one) (meV/atom) = 0
- D(E_F) (states/eV/cell) = 1.4
- E_form (uncorrected) (eV/atom) = -0.537

Cell lengths 5.148, 5.148, 5.414 Å; angles 90.00, 90.00, 90.00 degrees
Element x y z (fractional)
Sc1 0.000 0.000 0.000
Au1 0.500 0.500 0.500
Se1 0.000 0.000 0.500
Br1 0.000 0.500 0.000
Br2 0.500 0.000 0.000

[6]
ScSiAu2Br: optimized geometry, PBE-GGA.

- M_tot (Bohr magnetons per cell) = 0.00
- D(E_F) (states/eV/cell) = 2.4
- E_form (uncorrected) (eV/atom) = 0.864

Cell lengths 5.018, 5.018, 5.024 Å; angles 90.00, 90.00, 90.00 degrees
Element x y z (fractional)
Sc1 0.000 0.000 0.000
Si1 0.500 0.500 0.000
Au1 0.000 0.500 0.500
Au2 0.500 0.000 0.500
Br1 0.500 0.500 0.500

[7]
SrSc2AuBr: optimized geometry, PBE-GGA.

- M_tot (Bohr magnetons per cell) = 1.56
- D(E_F) (states/eV/cell) = 6.4
- E_form (uncorrected) (eV/atom) = -0.004

Cell lengths 5.011, 5.011, 6.226 Å; angles 90.00, 90.00, 90.00 degrees
Element x y z (fractional)
Sr1 0.000 0.000 0.000
Sc1 0.000 0.500 0.500
Sc2 0.500 0.000 0.500
Au1 0.500 0.500 0.000
Br1 0.500 0.500 0.500

[8]
ScTi2AuBr: optimized geometry, PBE-GGA.

- M_tot (Bohr magnetons per cell) = 3.05
- D(E_F) (states/eV/cell) = 2.2
- E_form (uncorrected) (eV/atom) = 0.358

Cell lengths 5.031, 5.031, 5.258 Å; angles 90.00, 90.00, 90.00 degrees
Element x y z (fractional)
Sc1 0.000 0.000 0.000
Ti1 0.000 0.500 0.500
Ti2 0.500 0.000 0.500
Au1 0.000 0.000 0.500
Br1 0.500 0.500 0.000

[9]
ScWAuBr2: optimized geometry, PBE-GGA.

- M_tot (Bohr magnetons per cell) = 0.00
- D(E_F) (states/eV/cell) = 3.2
- E_form (uncorrected) (eV/atom) = 0.546

Cell lengths 4.890, 4.890, 5.521 Å; angles 90.00, 90.00, 90.00 degrees
Element x y z (fractional)
Sc1 0.000 0.000 0.000
W1 0.000 0.000 0.500
Au1 0.500 0.500 0.000
Br1 0.000 0.500 0.500
Br2 0.500 0.000 0.500

[10]
Au2Se2Br: optimized geometry, PBE-GGA.

- M_tot (Bohr magnetons per cell) = 0.00
- D(E_F) (states/eV/cell) = 9.5
- E_form (uncorrected) (eV/atom) = 0.311

Cell lengths 8.834, 8.834, 2.806 Å; angles 90.00, 90.00, 90.00 degrees
Element x y z (fractional)
Au1 0.165 0.335 0.000
Au2 0.335 0.835 0.000
Au3 0.665 0.165 0.000
Au4 0.835 0.665 0.000
Se1 0.139 0.639 0.500
Se2 0.361 0.139 0.500
Se3 0.639 0.861 0.500
Se4 0.861 0.361 0.500
Br1 0.000 0.000 0.000
Br2 0.500 0.500 0.000

[11]
Au12Se5Br3: optimized geometry, PBE-GGA.

- M_tot (Bohr magnetons per cell) = 0.00
- D(E_F) (states/eV/cell) = 43.3
- E_form (uncorrected) (eV/atom) = 0.204

Cell lengths 13.810, 13.810, 13.810 Å; angles 109.47, 109.47, 109.47 degrees
Element x y z (fractional)
Au1 0.034 0.219 0.096
Au2 0.034 0.316 0.938
Au3 0.062 0.596 0.377
Au4 0.062 0.966 0.684
Au5 0.096 0.034 0.219
Au6 0.096 0.562 0.877
Au7 0.123 0.719 0.684
Au8 0.123 0.904 0.438
Au9 0.184 0.219 0.623
Au10 0.184 0.466 0.562
Au11 0.219 0.096 0.034
Au12 0.219 0.623 0.184
Au13 0.281 0.316 0.877
Au14 0.281 0.466 0.404
Au15 0.316 0.877 0.281
Au16 0.316 0.938 0.034
Au17 0.377 0.062 0.596
Au18 0.377 0.816 0.781
Au19 0.404 0.281 0.466
Au20 0.404 0.623 0.938
Au21 0.438 0.123 0.904
Au22 0.438 0.816 0.534
Au23 0.466 0.404 0.281
Au24 0.466 0.562 0.184
Au25 0.534 0.438 0.816
Au26 0.534 0.596 0.719
Au27 0.562 0.184 0.466
Au28 0.562 0.877 0.096
Au29 0.596 0.377 0.062
Au30 0.596 0.719 0.534
Au31 0.623 0.184 0.219
Au32 0.623 0.938 0.404
Au33 0.684 0.062 0.966
Au34 0.684 0.123 0.719
Au35 0.719 0.534 0.596
Au36 0.719 0.684 0.123
Au37 0.781 0.377 0.816
Au38 0.781 0.904 0.966
Au39 0.816 0.534 0.438
Au40 0.816 0.781 0.377
Au41 0.877 0.096 0.562
Au42 0.877 0.281 0.316
Au43 0.904 0.438 0.123
Au44 0.904 0.966 0.781
Au45 0.938 0.034 0.316
Au46 0.938 0.404 0.623
Au47 0.966 0.684 0.062
Au48 0.966 0.781 0.904
Se1 0.000 0.000 0.000
Se2 0.000 0.000 0.500
Se3 0.000 0.500 0.000
Se4 0.000 0.500 0.500
Se5 0.125 0.750 0.875
Se6 0.125 0.875 0.250
Se7 0.250 0.125 0.875
Se8 0.250 0.625 0.375
Se9 0.375 0.250 0.625
Se10 0.375 0.625 0.750
Se11 0.500 0.000 0.000
Se12 0.500 0.000 0.500
Se13 0.500 0.500 0.000
Se14 0.500 0.500 0.500
Se15 0.625 0.375 0.250
Se16 0.625 0.750 0.375
Se17 0.750 0.375 0.625
Se18 0.750 0.875 0.125
Se19 0.875 0.125 0.750
Se20 0.875 0.250 0.125
Br1 0.125 0.250 0.375
Br2 0.125 0.375 0.750
Br3 0.250 0.375 0.125
Br4 0.250 0.875 0.625
Br5 0.375 0.125 0.250
Br6 0.375 0.750 0.125
Br7 0.625 0.250 0.875
Br8 0.625 0.875 0.750
Br9 0.750 0.125 0.375
Br10 0.750 0.625 0.875
Br11 0.875 0.625 0.250
Br12 0.875 0.750 0.625

[12]
AuSe4Br: optimized geometry, PBE-GGA.

- M_tot (Bohr magnetons per cell) = 0.00
- D(E_F) (states/eV/cell) = 8.7
- E_form (uncorrected) (eV/atom) = 0.659

Cell lengths 5.750, 5.750, 5.750 Å; angles 60.00, 60.00, 60.00 degrees
Element x y z (fractional)
Au1 0.000 0.000 0.000
Se1 0.378 0.378 0.378
Se2 0.378 0.378 0.866
Se3 0.378 0.866 0.378
Se4 0.866 0.378 0.378
Br1 0.750 0.750 0.750

[13]
Au4SeBr: optimized geometry, PBE-GGA.

- M_tot (Bohr magnetons per cell) = 0.01
- D(E_F) (states/eV/cell) = 7.7
- E_form (uncorrected) (eV/atom) = 0.406

Cell lengths 5.639, 5.639, 5.639 Å; angles 60.00, 60.00, 60.00 degrees
Element x y z (fractional)
Au1 0.125 0.125 0.125
Au2 0.125 0.125 0.625
Au3 0.125 0.625 0.125
Au4 0.625 0.125 0.125
Se1 0.500 0.500 0.500
Br1 0.750 0.750 0.750

[14]
Au2SeBr8: optimized geometry, PBE-GGA.

- M_tot (Bohr magnetons per cell) = 0.00
- D(E_F) (states/eV/cell) = 2.4
- E_form (uncorrected) (eV/atom) = -0.028

Cell lengths 7.299, 7.299, 8.735 Å; angles 99.46, 99.46, 85.11 degrees
Element x y z (fractional)
Au1 0.140 0.140 0.405
Au2 0.860 0.860 0.595
Se1 0.000 0.000 0.000
Br1 0.033 0.669 0.843
Br2 0.103 0.103 0.687
Br3 0.331 0.967 0.157
Br4 0.370 0.370 0.522
Br5 0.630 0.630 0.478
Br6 0.669 0.033 0.843
Br7 0.897 0.897 0.313
Br8 0.967 0.331 0.157

[15]
AuSe2Br6: optimized geometry, PBE-GGA.

- M_tot (Bohr magnetons per cell) = 1.98
- D(E_F) (states/eV/cell) = 0.6
- E_form (uncorrected) (eV/atom) = -0.062

Cell lengths 8.626, 8.626, 10.010 Å; angles 99.72, 99.72, 87.09 degrees
Element x y z (fractional)
Au1 0.074 0.926 0.750
Au2 0.926 0.074 0.250
Se1 0.360 0.441 0.716
Se2 0.441 0.360 0.216
Se3 0.559 0.640 0.784
Se4 0.640 0.559 0.284
Br1 0.059 0.197 0.874
Br2 0.104 0.661 0.614
Br3 0.197 0.059 0.374
Br4 0.210 0.515 0.215
Br5 0.339 0.896 0.886
Br6 0.485 0.790 0.285
Br7 0.515 0.210 0.715
Br8 0.661 0.104 0.114
Br9 0.790 0.485 0.785
Br10 0.803 0.941 0.626
Br11 0.896 0.339 0.386
Br12 0.941 0.803 0.126

[16]
SiAuSeBr2: optimized geometry, PBE-GGA.

- M_tot (Bohr magnetons per cell) = 0.20
- polymorph energy (0 for the lowest one) (meV/atom) = 237
- D(E_F) (states/eV/cell) = 1.7
- E_form (uncorrected) (eV/atom) = 0.576

Cell lengths 5.134, 5.134, 5.304 Å; angles 90.00, 90.00, 90.00 degrees
Element x y z (fractional)
Si1 0.000 0.000 0.000
Au1 0.500 0.500 0.500
Se1 0.500 0.500 0.000
Br1 0.000 0.500 0.500
Br2 0.500 0.000 0.500

[17]
SiAuSeBr2: optimized geometry, PBE-GGA.

- M_tot (Bohr magnetons per cell) = 0.00
- polymorph energy (0 for the lowest one) (meV/atom) = 0
- D(E_F) (states/eV/cell) = 3.3
- E_form (uncorrected) (eV/atom) = 0.339

Cell lengths 4.951, 4.951, 5.106 Å; angles 90.00, 90.00, 90.00 degrees
Element x y z (fractional)
Si1 0.000 0.000 0.000
Au1 0.500 0.500 0.500
Se1 0.000 0.000 0.500
Br1 0.000 0.500 0.000
Br2 0.500 0.000 0.000

[18]
SnAuSe2Br: optimized geometry, PBE-GGA.

- M_tot (Bohr magnetons per cell) = 0.00
- polymorph energy (0 for the lowest one) (meV/atom) = 0
- D(E_F) (states/eV/cell) = 3.2
- E_form (uncorrected) (eV/atom) = 0.169

Cell lengths 5.160, 5.160, 5.171 Å; angles 90.00, 90.00, 90.00 degrees
Element x y z (fractional)
Sn1 0.000 0.000 0.000
Au1 0.500 0.500 0.500
Se1 0.000 0.500 0.500
Se2 0.500 0.000 0.500
Br1 0.500 0.500 0.000

[19]
SnAuSeBr2: optimized geometry, PBE-GGA.

- M_tot (Bohr magnetons per cell) = 0.00
- polymorph energy (0 for the lowest one) (meV/atom) = 0
- D(E_F) (states/eV/cell) = 0.9
- E_form (uncorrected) (eV/atom) = 0.045

Cell lengths 5.208, 5.208, 5.307 Å; angles 90.00, 90.00, 90.00 degrees
Element x y z (fractional)
Sn1 0.000 0.000 0.000
Au1 0.500 0.500 0.500
Se1 0.500 0.500 0.000
Br1 0.000 0.500 0.500
Br2 0.500 0.000 0.500

[20]
SrAuSeBr2: optimized geometry, PBE-GGA.

- M_tot (Bohr magnetons per cell) = 0.00
- polymorph energy (0 for the lowest one) (meV/atom) = 0
- D(E_F) (states/eV/cell) = 0.7
- E_form (uncorrected) (eV/atom) = -0.788

Cell lengths 5.271, 5.271, 5.354 Å; angles 90.00, 90.00, 90.00 degrees
Element x y z (fractional)
Sr1 0.000 0.000 0.000
Au1 0.500 0.500 0.500
Se1 0.500 0.500 0.000
Br1 0.000 0.500 0.500
Br2 0.500 0.000 0.500

[21]
SrAuSeBr2: optimized geometry, PBE-GGA.

- M_tot (Bohr magnetons per cell) = 1.02
- polymorph energy (0 for the lowest one) (meV/atom) = 529
- D(E_F) (states/eV/cell) = 4.2
- E_form (uncorrected) (eV/atom) = -0.258

Cell lengths 5.831, 5.831, 6.206 Å; angles 90.00, 90.00, 90.00 degrees
Element x y z (fractional)
Sr1 0.000 0.000 0.000
Au1 0.500 0.500 0.500
Se1 0.000 0.000 0.500
Br1 0.000 0.500 0.000
Br2 0.500 0.000 0.000

[22]
SrAuSe2Br: optimized geometry, PBE-GGA.

- M_tot (Bohr magnetons per cell) = 2.07
- polymorph energy (0 for the lowest one) (meV/atom) = 773
- D(E_F) (states/eV/cell) = 4.0
- E_form (uncorrected) (eV/atom) = 0.130

Cell lengths 6.001, 6.001, 5.759 Å; angles 90.00, 90.00, 90.00 degrees
Element x y z (fractional)
Sr1 0.000 0.000 0.000
Au1 0.500 0.500 0.500
Se1 0.000 0.500 0.000
Se2 0.500 0.000 0.000
Br1 0.000 0.000 0.500

[23]
SrAuSe2Br: optimized geometry, PBE-GGA.

- M_tot (Bohr magnetons per cell) = 0.00
- polymorph energy (0 for the lowest one) (meV/atom) = 0
- D(E_F) (states/eV/cell) = 2.5
- E_form (uncorrected) (eV/atom) = -0.643

Cell lengths 5.200, 5.200, 5.265 Å; angles 90.00, 90.00, 90.00 degrees
Element x y z (fractional)
Sr1 0.000 0.000 0.000
Au1 0.500 0.500 0.500
Se1 0.000 0.500 0.500
Se2 0.500 0.000 0.500
Br1 0.500 0.500 0.000